DFT (PBE-GGA) results for a geometry-optimized LiMg2CoH6 structure.

Cell lengths 4.427, 4.427, 4.949 Å; angles 90.00, 90.00, 120.00 degrees
Sites, in units of the cell vectors:
Li 0.000 0.000 0.000
Mg 0.333 0.667 0.312
Mg 0.667 0.333 0.688
Co 0.000 0.000 0.500
H 0.162 0.325 0.700
H 0.162 0.838 0.700
H 0.325 0.162 0.300
H 0.675 0.838 0.700
H 0.838 0.162 0.300
H 0.838 0.675 0.300

## Properties
- Total DFT energy (no corrections): -3.404 eV per atom
- Size of the total moment: 0.00 μB/cell
- Space-group type: P-3m1